Entry 1:
This record from Alexandria describes a relaxed SrY2TaBe crystal. The functional is PBE.

Spin magnetization = 0.70 μB/cell
SG = No. 123
Final energy = -5.4581 eV per atom
DFT formation energy = 0.580 eV/atom

Cell: 5.3092 4.8494 5.3092 Å, 90.00 90.00 90.00°
Site moments in Bohr magnetons follow the coordinates.
Atoms (fractional coordinates):
Y 0.0000 0.0000 0.5000  0.00
Y 0.5000 0.0000 0.0000  0.02
Sr 0.5000 0.5000 0.5000  0.02
Be 0.0000 0.0000 0.0000  0.00
Ta 0.0000 0.5000 0.0000  0.34

---

Entry 2:
This record from Alexandria describes a relaxed Li2Ho2In3 crystal. The functional is PBE.

Spin magnetization = 0.34 μB/cell
SG = No. 65
Final energy = -3.3568 eV per atom
DFT formation energy = -0.328 eV/atom

Cell: 4.5323 3.2512 11.2203 Å, 90.00 78.35 90.00°
Site moments in Bohr magnetons follow the coordinates.
Atoms (fractional coordinates):
Li 0.7189 0.5000 0.5623  0.00
Li 0.2811 0.5000 0.4377  0.00
Ho 0.5784 0.5000 0.8431  0.14
Ho 0.4216 0.5000 0.1569  0.14
In 0.8394 0.0000 0.3212  0.00
In 0.0000 0.0000 0.0000  0.00
In 0.1606 0.0000 0.6788  0.00

---

Entry 3:
This record from Alexandria describes a relaxed AcThTe2 crystal. The functional is PBE.

Spin magnetization = 0.00 μB/cell
SG = No. 51
Energy relative to the lowest polymorph listed for this composition = 0.031 eV/atom
Final energy = -5.6500 eV per atom
Formation energy (no corrections) = -4.789 eV/f.u.

Cell: 4.1705 8.9432 7.3442 Å, 90.00 90.00 90.00°
Atoms (fractional coordinates):
Ac 0.5000 0.0000 0.5000
Ac 0.5000 0.5000 0.5000
Th 0.0000 0.5000 0.0000
Th 0.0000 0.0000 0.0000
Te 0.5000 0.7500 0.8467
Te 0.5000 0.2500 0.1533
Te 0.0000 0.2500 0.6852
Te 0.0000 0.7500 0.3148

---

Entry 4:
This record from Alexandria describes a relaxed NaMg4Hg8 crystal. The functional is PBE.

Spin magnetization = 0.00 μB/cell
SG = No. 166
Final energy = -0.8103 eV per atom
DFT formation energy = -0.032 eV/atom

Cell: 7.4923 7.4923 7.4923 Å, 65.29 65.29 65.29°
Atoms (fractional coordinates):
Na 0.0000 0.0000 0.0000
Mg 0.5000 0.5000 0.5000
Mg 0.5000 0.5000 0.0000
Mg 0.0000 0.5000 0.5000
Mg 0.5000 0.0000 0.5000
Hg 0.8119 0.2588 0.2588
Hg 0.2588 0.2588 0.8119
Hg 0.2588 0.8119 0.2588
Hg 0.2358 0.2358 0.2358
Hg 0.7642 0.7642 0.7642
Hg 0.7412 0.7412 0.1881
Hg 0.7412 0.1881 0.7412
Hg 0.1881 0.7412 0.7412

---

Entry 5:
This record from Alexandria describes a relaxed Pr5SiCl5 crystal. The functional is PBE.

Spin magnetization = 0.00 μB/cell
SG = No. 12
Final energy = -5.0153 eV per atom
Formation energy (no corrections) = -16.615 eV/f.u.

Cell: 5.8184 7.0830 8.3756 Å, 106.43 90.00 114.25°
Atoms (fractional coordinates):
Pr 0.8282 0.6565 0.1431
Pr 0.8422 0.6844 0.6886
Pr 0.5000 0.0000 0.0000
Pr 0.1578 0.3156 0.3114
Pr 0.1718 0.3435 0.8569
Si 0.0000 0.0000 0.0000
Cl 0.6578 0.3156 0.3492
Cl 0.6527 0.3053 0.8004
Cl 0.0000 0.0000 0.5000
Cl 0.3473 0.6947 0.1996
Cl 0.3422 0.6844 0.6508

---

Entry 6:
This record from Alexandria describes a relaxed HfMn5Ga crystal. The functional is PBE.

Spin magnetization = 6.70 μB/cell
SG = No. 62
Final energy = -8.5180 eV per atom
DFT formation energy = -0.114 eV/atom

Cell: 4.6742 7.9046 9.9798 Å, 90.00 90.00 90.00°
Site moments in Bohr magnetons follow the coordinates.
Atoms (fractional coordinates):
Hf 0.2500 0.2396 0.9396  -0.10
Hf 0.7500 0.2604 0.4396  -0.10
Hf 0.2500 0.7396 0.5604  -0.10
Hf 0.7500 0.7604 0.0604  -0.10
Mn 0.2500 0.5890 0.0318  -1.41
Mn 0.7500 0.9110 0.5318  -1.41
Mn 0.2500 0.0890 0.4682  -1.41
Mn 0.7500 0.4110 0.9682  -1.41
Mn 0.7500 0.3078 0.7500  1.06
Mn 0.2500 0.1922 0.2500  1.06
Mn 0.7500 0.8078 0.7500  1.06
Mn 0.2500 0.6922 0.2500  1.06
Mn 0.2500 0.9484 0.1018  2.08
Mn 0.7500 0.5516 0.6018  2.08
Mn 0.2500 0.4484 0.3982  2.08
Mn 0.7500 0.0516 0.8982  2.08
Mn 0.9814 0.4292 0.1865  0.02
Mn 0.0186 0.0708 0.6865  0.02
Mn 0.5186 0.9292 0.3135  0.02
Mn 0.4814 0.5708 0.8135  0.02
Mn 0.0186 0.5708 0.8135  0.02
Mn 0.9814 0.9292 0.3135  0.02
Mn 0.4814 0.0708 0.6865  0.02
Mn 0.5186 0.4292 0.1865  0.02
Ga 0.2500 0.8669 0.8599  -0.02
Ga 0.7500 0.6331 0.3599  -0.02
Ga 0.2500 0.3669 0.6401  -0.02
Ga 0.7500 0.1331 0.1401  -0.02

---

Entry 7:
This record from Alexandria describes a relaxed SrScHS2 crystal. The functional is PBE.

Spin magnetization = 0.00 μB/cell
SG = No. 123
Final energy = -5.4978 eV per atom

Cell: 5.0257 5.0257 3.9803 Å, 90.00 90.00 90.00°
Atoms (fractional coordinates):
Sc 0.0000 0.0000 0.0000
Sr 0.5000 0.5000 0.5000
S 0.0000 0.5000 0.0000
S 0.5000 0.0000 0.0000
H 0.0000 0.0000 0.5000

---

Entry 8:
This record from Alexandria describes a relaxed ZnRuPb crystal. The functional is PBE.

Spin magnetization = 0.00 μB/cell
SG = No. 156
Final energy = -4.3259 eV per atom
DFT formation energy = 0.427 eV/atom

Cell: 3.1784 3.1784 6.6414 Å, 90.00 90.00 120.00°
Atoms (fractional coordinates):
Pb 0.0000 0.0000 0.0236
Ru 0.6667 0.3333 0.3502
Zn 0.3333 0.6667 0.6262

---

Entry 9:
This record from Alexandria describes a relaxed TlTc2Te crystal. The functional is PBE.

Spin magnetization = 0.00 μB/cell
SG = No. 119
Energy relative to the lowest polymorph listed for this composition = 0.560 eV/atom
Final energy = -5.6779 eV per atom
Formation energy (no corrections) = 3.528 eV/f.u.

Cell: 5.1651 5.1651 5.1651 Å, 131.48 131.48 71.05°
Atoms (fractional coordinates):
Tc 0.0000 0.0000 0.0000
Tc 0.2500 0.7500 0.5000
Te 0.5000 0.5000 0.0000
Tl 0.7500 0.2500 0.5000

---

Entry 10:
This record from Alexandria describes a relaxed KMg3Cu4Br12 crystal. The functional is PBE.

Spin magnetization = 1.17 μB/cell
SG = No. 155
Final energy = -3.0250 eV per atom
Formation energy (no corrections) = -18.160 eV/f.u.

Cell: 8.9240 8.9240 8.9240 Å, 106.22 106.22 106.22°
Site moments in Bohr magnetons follow the coordinates.
Atoms (fractional coordinates):
K 0.0000 0.0000 0.0000  0.00
Mg 0.5681 0.4319 0.0000  0.00
Mg 0.4319 0.0000 0.5681  0.00
Mg 0.0000 0.5681 0.4319  0.00
Cu 0.9173 0.0827 0.5000  0.20
Cu 0.0827 0.5000 0.9173  0.20
Cu 0.5000 0.9173 0.0827  0.20
Cu 0.5000 0.5000 0.5000  0.15
Br 0.5000 0.3337 0.6663  0.02
Br 0.9104 0.5000 0.0896  0.04
Br 0.0896 0.9104 0.5000  0.04
Br 0.5000 0.0896 0.9104  0.04
Br 0.3474 0.9751 0.2489  0.02
Br 0.2489 0.3474 0.9751  0.02
Br 0.9751 0.2489 0.3474  0.02
Br 0.6526 0.7511 0.0249  0.02
Br 0.0249 0.6526 0.7511  0.02
Br 0.7511 0.0249 0.6526  0.02
Br 0.6663 0.5000 0.3337  0.02
Br 0.3337 0.6663 0.5000  0.02

---

Entry 11:
This record from Alexandria describes a relaxed Sc12Ni5Pb crystal. The functional is PBE.

Spin magnetization = 0.00 μB/cell
SG = No. 71
Final energy = -6.4205 eV per atom
DFT formation energy = -0.387 eV/atom

Cell: 7.7729 7.7729 7.7729 Å, 106.36 111.30 110.80°
Atoms (fractional coordinates):
Sc 0.5340 0.8181 0.7159
Sc 0.4660 0.1819 0.2841
Sc 0.8978 0.1819 0.7159
Sc 0.1022 0.8181 0.2841
Sc 0.6984 0.6792 0.3776
Sc 0.3016 0.3208 0.6224
Sc 0.3016 0.6792 0.9808
Sc 0.6984 0.3208 0.0192
Sc 0.8032 0.5841 0.7808
Sc 0.1968 0.4159 0.2192
Sc 0.1968 0.9776 0.7808
Sc 0.8032 0.0224 0.2192
Ni 0.6430 0.6430 0.0000
Ni 0.3570 0.3570 0.0000
Ni 0.5000 0.1272 0.6272
Ni 0.5000 0.8728 0.3728
Ni 0.0000 0.0000 0.0000
Pb 0.0000 0.5000 0.5000

---

Entry 12:
This record from Alexandria describes a relaxed Pm2ScHg crystal. The functional is PBE.

Spin magnetization = 0.00 μB/cell
SG = No. 166
Energy relative to the lowest polymorph listed for this composition = 0.316 eV/atom
Final energy = -3.9061 eV per atom
DFT formation energy = 0.128 eV/atom

Cell: 3.4162 3.4162 11.8468 Å, 81.71 81.71 60.00°
Atoms (fractional coordinates):
Sc 0.0000 0.0000 0.0000
Hg 0.5000 0.5000 0.5000
Pm 0.0918 0.0918 0.7247
Pm 0.9082 0.9082 0.2753